# Pm4Nd2Y | Alexandria via LeMat-Bulk | GGA-PBE | optimized geometry
# SG: Cmce (64)
# Calculated total energy (eV for the cell shown): -134.33
data_Pm4Nd2Y
_chemical_formula_sum 'Pm16 Nd8 Y4'
_space_group_name_H-M_alt 'P 1'
_space_group_IT_number 1
_space_group_name_Hall 'P 1'
_cell_length_a 3.798
_cell_length_b 14.037
_cell_length_c 18.847
_cell_angle_alpha 90.00
_cell_angle_beta 90.00
_cell_angle_gamma 90.00
loop_
_atom_site_label
_atom_site_type_symbol
_atom_site_fract_x
_atom_site_fract_y
_atom_site_fract_z
Pm1 Pm 0.001 0.583 0.821
Pm2 Pm 0.000 0.312 0.447
Pm3 Pm 0.499 0.417 0.321
Pm4 Pm 0.500 0.812 0.447
Pm5 Pm 0.999 0.083 0.679
Pm6 Pm 0.500 0.688 0.947
Pm7 Pm 0.500 0.312 0.053
Pm8 Pm 0.000 0.688 0.553
Pm9 Pm 0.000 0.188 0.947
Pm10 Pm 0.999 0.417 0.179
Pm11 Pm 0.501 0.917 0.179
Pm12 Pm 0.000 0.812 0.053
Pm13 Pm 0.499 0.083 0.821
Pm14 Pm 0.001 0.917 0.321
Pm15 Pm 0.501 0.583 0.679
Pm16 Pm 0.500 0.188 0.553
Nd1 Nd 0.501 0.130 0.347
Nd2 Nd 0.001 0.370 0.653
Nd3 Nd 0.499 0.630 0.153
Nd4 Nd 0.001 0.130 0.153
Nd5 Nd 0.499 0.870 0.653
Nd6 Nd 0.501 0.370 0.847
Nd7 Nd 0.999 0.870 0.847
Nd8 Nd 0.999 0.630 0.347
Y1 Y 0.000 0.000 0.500
Y2 Y 0.500 0.000 0.000
Y3 Y 0.000 0.500 0.000
Y4 Y 0.500 0.500 0.500